1.
Na3B4C2 after structural relaxation, computed with PBE-GGA.

Calculated values
ΔE_f: 98 meV/atom
symmetry: Cmcm
energy above the lowest structure with this stoichiometry: 0.000 eV per atom
calculated volume: 185 Å³/cell
crystal system: orthorhombic

Unit cell a=7.800 b=7.800 c=8.608 alpha=90.00 beta=90.00 gamma=159.31
Sites, in units of the cell vectors:
Na 0.000 0.000 0.000
Na 0.000 0.000 0.500
Na 0.332 0.668 0.501
Na 0.332 0.668 0.999
Na 0.668 0.332 0.001
Na 0.668 0.332 0.499
B 0.113 0.887 0.750
B 0.118 0.882 0.250
B 0.230 0.770 0.250
B 0.458 0.542 0.750
B 0.542 0.458 0.250
B 0.770 0.230 0.750
B 0.882 0.118 0.750
B 0.887 0.113 0.250
C 0.217 0.783 0.750
C 0.441 0.559 0.250
C 0.559 0.441 0.750
C 0.783 0.217 0.250



2.
ErGeIr2 after structural relaxation, computed with PBE-GGA.

Calculated values
ΔE_f: -501 meV/atom
symmetry: R-3m
calculated volume: 74 Å³/cell
crystal system: trigonal

Unit cell a=5.249 b=5.249 c=5.249 alpha=48.50 beta=48.50 gamma=48.50
Sites, in units of the cell vectors:
Er 0.000 0.000 0.000
Ge 0.500 0.500 0.500
Ir 0.212 0.212 0.212
Ir 0.788 0.788 0.788



3.
SrMg2ZnPt after structural relaxation, computed with PBE-GGA.

Calculated values
ΔE_f: -397 meV/atom
symmetry: P4/mmm
calculated volume: 128 Å³/cell
crystal system: tetragonal

Unit cell a=5.057 b=5.057 c=4.998 alpha=90.00 beta=90.00 gamma=90.00
Sites, in units of the cell vectors:
Sr 0.000 0.000 0.000
Mg 0.000 0.500 0.500
Mg 0.500 0.000 0.500
Zn 0.500 0.500 0.000
Pt 0.500 0.500 0.500



4.
AcTbHoTe3 after structural relaxation, computed with PBE-GGA.

Calculated values
symmetry: P2_1/m
calculated volume: 404 Å³/cell
energy relative to the elements, uncorrected: -122.3 kJ/mol of atoms
crystal system: monoclinic

Unit cell a=8.737 b=4.416 c=10.940 alpha=90.00 beta=106.95 gamma=90.00
Sites, in units of the cell vectors:
Ac 0.192 0.250 0.221
Ac 0.808 0.750 0.779
Tb 0.339 0.750 0.906
Tb 0.661 0.250 0.094
Ho 0.150 0.250 0.624
Ho 0.850 0.750 0.376
Te 0.096 0.250 0.893
Te 0.224 0.750 0.461
Te 0.488 0.750 0.204
Te 0.512 0.250 0.796
Te 0.776 0.250 0.539
Te 0.904 0.750 0.107



5.
Sr2Ga3IrPt4 after structural relaxation, computed with PBE-GGA.

Calculated values
ΔE_f: -692 meV/atom
symmetry: P-4m2
calculated volume: 198 Å³/cell
crystal system: tetragonal

Unit cell a=4.234 b=4.234 c=11.061 alpha=90.00 beta=90.00 gamma=90.00
Sites, in units of the cell vectors:
Sr 0.000 0.500 0.247
Sr 0.500 0.000 0.753
Ga 0.000 0.000 0.000
Ga 0.000 0.500 0.632
Ga 0.500 0.000 0.368
Ir 0.500 0.500 0.000
Pt 0.000 0.000 0.500
Pt 0.000 0.500 0.858
Pt 0.500 0.000 0.142
Pt 0.500 0.500 0.500



6.
K2U3RuO12 after structural relaxation, computed with PBE-GGA.

Calculated values
symmetry: R-3m
calculated volume: 327 Å³/cell
energy relative to the elements, uncorrected: -244.7 kJ/mol of atoms
crystal system: trigonal

Unit cell a=7.578 b=7.578 c=7.578 alpha=62.89 beta=62.89 gamma=62.89
Sites, in units of the cell vectors:
K 0.147 0.147 0.147
K 0.853 0.853 0.853
U 0.000 0.500 0.500
U 0.500 0.000 0.500
U 0.500 0.500 0.000
Ru 0.500 0.500 0.500
O 0.178 0.178 0.555
O 0.178 0.555 0.178
O 0.199 0.559 0.559
O 0.441 0.441 0.801
O 0.441 0.801 0.441
O 0.445 0.822 0.822
O 0.555 0.178 0.178
O 0.559 0.199 0.559
O 0.559 0.559 0.199
O 0.801 0.441 0.441
O 0.822 0.445 0.822
O 0.822 0.822 0.445



7.
AcMgZn4 after structural relaxation, computed with PBE-GGA.

Calculated values
ΔE_f: -207 meV/atom
symmetry: Pbam
energy above the lowest structure with this stoichiometry: 0.000 eV per atom
calculated volume: 531 Å³/cell
crystal system: orthorhombic

Unit cell a=8.237 b=16.240 c=3.970 alpha=90.00 beta=90.00 gamma=90.00
Sites, in units of the cell vectors:
Ac 0.125 0.152 0.000
Ac 0.375 0.652 0.000
Ac 0.625 0.348 0.000
Ac 0.875 0.848 0.000
Mg 0.129 0.415 0.000
Mg 0.371 0.915 0.000
Mg 0.629 0.085 0.000
Mg 0.871 0.585 0.000
Zn 0.025 0.694 0.500
Zn 0.122 0.548 0.500
Zn 0.128 0.962 0.500
Zn 0.215 0.811 0.500
Zn 0.285 0.311 0.500
Zn 0.372 0.462 0.500
Zn 0.378 0.048 0.500
Zn 0.475 0.194 0.500
Zn 0.525 0.806 0.500
Zn 0.622 0.952 0.500
Zn 0.628 0.538 0.500
Zn 0.715 0.689 0.500
Zn 0.785 0.189 0.500
Zn 0.872 0.038 0.500
Zn 0.878 0.452 0.500
Zn 0.975 0.306 0.500



8.
CaFe2Os after structural relaxation, computed with PBE-GGA.

Calculated values
ΔE_f: 598 meV/atom
symmetry: Immm
energy above the lowest structure with this stoichiometry: 0.281 eV per atom
calculated volume: 67 Å³/cell
crystal system: orthorhombic

Unit cell a=5.499 b=5.499 c=5.499 alpha=149.01 beta=128.38 gamma=61.44
Sites, in units of the cell vectors:
Ca 0.000 0.000 0.000
Fe 0.281 0.781 0.500
Fe 0.719 0.219 0.500
Os 0.500 0.500 0.000



So what do the calculations give for electronic total energy? Going down the list: -5.359 -7.226 -2.834 -5.058 -5.239 -8.360 -2.006 -6.941 eV/atom.